# 1
Na2SrCdTe, relaxed, DFT PBEsol; formation energy without anion corrections = -0.11 eV/atom; uncorrected energy = -1.9822 eV/atom; SG = P4/mmm; Fermi-level density of states = 0.5507 states/eV per atom; crystal system = tetragonal
1.0
5.702 0.000 0.000
0.000 5.702 0.000
0.000 0.000 6.062
Na Sr Cd Te
2 1 1 1
Direct
0.000 0.500 0.000
0.500 0.000 0.000
0.000 0.000 0.500
0.500 0.500 0.500
0.500 0.500 0.000

---

# 2
MnW8, relaxed, DFT PBEsol; uncorrected energy = -13.2740 eV/atom; SG = I4/mmm; Fermi-level density of states = 0.6890 states/eV per atom; crystal system = tetragonal; ΔH_f (0 K) = 0.8 eV/f.u.
1.0
-4.669 4.669 1.571
4.669 -4.669 1.571
4.669 4.669 -1.571
Mn W
1 8
Direct
0.000 0.000 0.000
0.000 0.331 0.331
0.000 0.669 0.669
0.331 0.000 0.331
0.336 0.336 0.672
0.336 0.664 0.000
0.664 0.336 0.000
0.664 0.664 0.328
0.669 0.000 0.669

---

# 3
Li2HfZrPt, relaxed, DFT PBEsol; uncorrected energy = -4.7362 eV/atom; SG = P4/mmm; Fermi-level density of states = 0.8004 states/eV per atom; crystal system = tetragonal; ΔH_f (0 K) = 6.8 eV/f.u.
1.0
4.418 0.000 0.000
0.000 4.418 0.000
0.000 0.000 4.917
Li Hf Zr Pt
2 1 1 1
Direct
0.000 0.500 0.000
0.500 0.000 0.000
0.000 0.000 0.500
0.000 0.000 0.000
0.500 0.500 0.500

---

# 4
Li2VGaO4, relaxed, DFT PBEsol; formation energy without anion corrections = -2.12 eV/atom; uncorrected energy = -6.8534 eV/atom; SG = P-1; Fermi-level density of states = 0.3292 states/eV per atom; crystal system = triclinic
1.0
5.074 0.000 0.000
-0.001 5.881 0.000
-2.396 -1.428 7.087
Li V Ga O
6 3 3 12
Direct
0.001 0.250 0.001
0.001 0.409 0.668
0.002 0.911 0.667
0.998 0.089 0.333
0.999 0.591 0.332
0.999 0.750 0.999
0.500 0.349 0.336
0.500 0.500 0.000
0.500 0.651 0.664
0.498 0.843 0.333
0.500 0.000 0.000
0.502 0.157 0.667
0.266 0.369 0.505
0.268 0.555 0.173
0.271 0.708 0.838
0.274 0.053 0.173
0.274 0.205 0.838
0.275 0.872 0.505
0.725 0.128 0.495
0.726 0.795 0.162
0.726 0.947 0.827
0.729 0.292 0.162
0.732 0.445 0.827
0.734 0.631 0.495

---

# 5
Sc3TeBr, relaxed, DFT PBEsol; formation energy without anion corrections = -0.23 eV/atom; uncorrected energy = -5.2732 eV/atom; SG = Pm-3m; Fermi-level density of states = 1.4357 states/eV per atom; crystal system = cubic
1.0
4.918 0.000 0.000
0.000 4.918 0.000
0.000 0.000 4.918
Sc Te Br
3 1 1
Direct
0.000 0.000 0.500
0.000 0.500 0.000
0.500 0.000 0.000
0.500 0.500 0.500
0.000 0.000 0.000

---

# 6
MoAsIrBr2, relaxed, DFT PBEsol; formation energy without anion corrections = 1.14 eV/atom; uncorrected energy = -4.9516 eV/atom; SG = P4/mmm; Fermi-level density of states = 0.6389 states/eV per atom; crystal system = tetragonal
1.0
5.170 0.000 0.000
0.000 5.170 0.000
0.000 0.000 4.591
Mo As Ir Br
1 1 1 2
Direct
0.000 0.000 0.000
0.500 0.500 0.000
0.500 0.500 0.500
0.000 0.500 0.500
0.500 0.000 0.500

---

# 7
TlS3I, relaxed, DFT PBEsol; formation energy without anion corrections = 0.82 eV/atom; uncorrected energy = -2.6855 eV/atom; SG = Pm-3m; Fermi-level density of states = 1.2801 states/eV per atom; crystal system = cubic
1.0
5.045 0.000 0.000
0.000 5.045 0.000
0.000 0.000 5.045
Tl S I
1 3 1
Direct
0.000 0.000 0.000
0.000 0.000 0.500
0.000 0.500 0.000
0.500 0.000 0.000
0.500 0.500 0.500

---

# 8
ZnSi2Tc, relaxed, DFT PBEsol; formation energy without anion corrections = -0.02 eV/atom; uncorrected energy = -6.1037 eV/atom; SG = I4/mmm; Fermi-level density of states = 0.8365 states/eV per atom; crystal system = tetragonal
1.0
-1.895 1.895 3.661
1.895 -1.895 3.661
1.895 1.895 -3.661
Zn Si Tc
1 2 1
Direct
0.000 0.000 0.000
0.250 0.750 0.500
0.750 0.250 0.500
0.500 0.500 0.000